Record 1
Compound: NbTe2Au
Source: the Alexandria database
Functional: GGA-PBE
Structure: relaxed

Computed properties:
Offset from the most stable computed form   0.3050 eV per atom

Cell lengths 6.298, 6.298, 12.978 Å; angles 90.00, 90.00, 90.00 degrees
Fractional coordinates of all 16 atoms:
Nb 0.000 0.000 0.000
Nb 0.000 0.500 0.250
Nb 0.500 0.000 0.750
Nb 0.500 0.500 0.500
Te 0.246 0.250 0.125
Te 0.250 0.746 0.375
Te 0.250 0.754 0.875
Te 0.254 0.250 0.625
Te 0.746 0.750 0.625
Te 0.750 0.246 0.875
Te 0.750 0.254 0.375
Te 0.754 0.750 0.125
Au 0.000 0.000 0.500
Au 0.000 0.500 0.750
Au 0.500 0.000 0.250
Au 0.500 0.500 0.000



Record 2
Compound: NbTeAu3
Source: the Alexandria database
Functional: GGA-PBE
Structure: relaxed

Computed properties:
Offset from the most stable computed form   0.0000 eV per atom

Cell lengths 5.146, 5.146, 5.146 Å; angles 90.00, 90.00, 90.00 degrees
Fractional coordinates of all 5 atoms:
Nb 0.000 0.000 0.000
Te 0.500 0.500 0.500
Au 0.000 0.000 0.500
Au 0.000 0.500 0.000
Au 0.500 0.000 0.000



> offset from the most stable computed form of number 2 (NbTeAu3)?

0.0000 eV per atom



> offset from the most stable computed form of number 1 (NbTe2Au)?

0.3050 eV per atom



> Which formula does entry 2 have?

NbTeAu3



> Which formula does entry 1 have?

NbTe2Au